## SrMgFeTe (PBE)

Data for SrMgFeTe after structural relaxation.

Properties
**Density**: 4.9 g/cm³
**Total magnetic moment**: 10.5 Bohr magnetons per cell
**Relative energy among the computed polymorphs**: 173 meV/atom

Cell: 7.3493 7.3493 7.3493 Å, 90.00 90.00 90.00°
Closest atoms and distances in Å follow each position.
Space group F-43m (No. 216)
Symmetry-distinct sites (fractional):
Sr 0.0000 0.0000 0.0000 [4 per cell]  4 Fe 3.18, 4 Mg 3.18
Mg 0.2500 0.2500 0.2500 [4 per cell]  4 Te 3.18, 4 Sr 3.18
Fe 0.2500 0.2500 0.7500 [4 per cell]  4 Te 3.18, 4 Sr 3.18
Te 0.0000 0.0000 0.5000 [4 per cell]  4 Fe 3.18, 4 Mg 3.18

## LaMgCuSi2 (PBE)

Data for LaMgCuSi2 after structural relaxation.

Properties
**Density**: 4.9 g/cm³
**Raw total energy**: -46.9 eV for the cell shown
**Total magnetic moment**: 0.0 Bohr magnetons per cell

Cell: 4.2291 4.2291 10.6175 Å, 90.00 90.00 90.00°
Closest atoms and distances in Å follow each position.
Space group I-4m2 (No. 119)
Symmetry-distinct sites (fractional):
La 0.0000 0.0000 0.0000 [2 per cell]  8 Si 3.22, 4 Mg 3.39, 4 Cu 3.39
Mg 0.0000 0.5000 0.2500 [2 per cell]  4 Si 2.57
Cu 0.0000 0.5000 0.7500 [2 per cell]  4 Si 2.57
Si 0.0000 0.0000 0.3880 [4 per cell]  1 Si 2.38, 2 Mg 2.57, 2 Cu 2.57

## SmScO3 (PBE)

Data for SmScO3 after structural relaxation.

Properties
**Density**: 5.8 g/cm³
**Raw total energy**: -169.6 eV for the cell shown
**Total magnetic moment**: 0.0 Bohr magnetons per cell

Cell: 5.8403 8.3599 5.7056 Å, 90.00 90.00 90.00°
Closest atoms and distances in Å follow each position.
Space group Pnma (No. 62)
Symmetry-distinct sites (fractional):
Sm 0.0000 0.0000 0.0000 [4 per cell]  6 O 2.29-2.42
Sc 0.0181 0.2500 0.4864 [4 per cell]  4 O 1.98-2.20
O 0.1346 0.7500 0.8370 [4 per cell]  2 Sc 2.05-2.20
O 0.1571 0.5827 0.3464 [8 per cell]  1 Sc 1.98

## Dy2Y2Br5N (PBE)

Data for Dy2Y2Br5N after structural relaxation.

Properties
**Density**: 5.9 g/cm³
**Raw total energy**: -109.5 eV for the cell shown
**Total magnetic moment**: 0.0 Bohr magnetons per cell

Cell: 17.5920 3.7446 8.0539 Å, 90.00 103.24 90.00°
Closest atoms and distances in Å follow each position.
Space group C2/m (No. 12)
Symmetry-distinct sites (fractional):
Dy 0.0009 0.0000 0.3010 [4 per cell]  2 N 2.47
Y 0.1368 0.5000 0.5705 [4 per cell]  1 N 2.34
Br 0.0000 0.5000 0.0000 [2 per cell]  4 Dy 3.06
Br 0.1639 0.0000 0.8450 [4 per cell]  2 Y 2.85, 1 Dy 2.87
Br 0.1699 0.0000 0.3224 [4 per cell]  2 Y 2.89, 1 Dy 2.94
N 0.0000 0.5000 0.5000 [2 per cell]  2 Y 2.34, 4 Dy 2.47

## Nb2FeSi3 (PBE)

Data for Nb2FeSi3 after structural relaxation.

Properties
**Density**: 6.8 g/cm³
**Raw total energy**: -96.5 eV for the cell shown
**Total magnetic moment**: 0.0 Bohr magnetons per cell

Cell: 4.9508 4.9508 7.5332 Å, 90.00 90.00 120.00°
Closest atoms and distances in Å follow each position.
Space group P6_3/mmc (No. 194)
Symmetry-distinct sites (fractional):
Nb 0.3333 0.6667 0.0678 [4 per cell]  4 Nb 2.74-3.04, 9 Si 2.78-2.83, 3 Fe 2.90
Fe 0.0000 0.0000 0.0000 [2 per cell]  6 Si 2.37
Si 0.1677 0.3354 0.7500 [6 per cell]  2 Fe 2.37, 4 Si 2.46-2.49

## AlCuGePd (PBE)

Data for AlCuGePd after structural relaxation.

Properties
**Density**: 7.6 g/cm³
**Relative energy among the computed polymorphs**: 0 meV/atom

Cell: 6.1789 6.1789 6.1789 Å, 90.00 90.00 90.00°
Closest atoms and distances in Å follow each position.
Space group F-43m (No. 216)
Symmetry-distinct sites (fractional):
Al 0.0000 0.0000 0.0000 [4 per cell]  4 Cu 2.68, 4 Pd 2.68
Cu 0.2500 0.2500 0.7500 [4 per cell]  4 Ge 2.68, 4 Al 2.68
Ge 0.0000 0.0000 0.5000 [4 per cell]  4 Cu 2.68, 4 Pd 2.68
Pd 0.2500 0.2500 0.2500 [4 per cell]  4 Al 2.68, 4 Ge 2.68

## TbDyCu2As2P2 (PBE)

Data for TbDyCu2As2P2 after structural relaxation.

Properties
**Density**: 7.7 g/cm³
**Raw total energy**: -43.9 eV for the cell shown
**Total magnetic moment**: 0.0 Bohr magnetons per cell

Cell: 3.8239 3.8239 9.7603 Å, 90.00 90.00 90.00°
Closest atoms and distances in Å follow each position.
Space group P4mm (No. 99)
Symmetry-distinct sites (fractional):
Tb 0.0000 0.0000 0.0000 [1 per cell]  4 P 2.89, 4 As 3.05, 4 Cu 3.15
Dy 0.5000 0.5000 0.5132 [1 per cell]  4 P 2.89, 4 As 3.05, 4 Cu 3.15
Cu 0.0000 0.5000 0.2569 [2 per cell]  4 P 2.42, 4 Cu 2.70
As 0.0000 0.5000 0.7560 [2 per cell]  4 As 2.70
P 0.0000 0.0000 0.4088 [1 per cell]  4 Cu 2.42
P 0.5000 0.5000 0.1053 [1 per cell]  4 Cu 2.42

## Tb9Sb5O5 (PBE)

Data for Tb9Sb5O5 after structural relaxation.

Properties
**Density**: 8.1 g/cm³
**Raw total energy**: -257.4 eV for the cell shown
**Total magnetic moment**: 0.0 Bohr magnetons per cell

Cell: 9.8767 9.8767 8.8809 Å, 90.00 90.00 90.00°
Closest atoms and distances in Å follow each position.
Space group P4/n (No. 85, origin choice 2)
Symmetry-distinct sites (fractional):
Tb 0.0241 0.1676 0.0016 [8 per cell]  4 O 2.20-2.45
Tb 0.0447 0.6456 0.6569 [8 per cell]  1 O 2.28
Tb 0.2500 0.2500 0.6703 [2 per cell]  1 O 2.36
Sb 0.0546 0.6542 0.3014 [8 per cell]  7 Tb 3.13-3.38, 2 O 3.47-3.48
Sb 0.2500 0.2500 0.3170 [2 per cell]  5 Tb 3.10-3.14, 1 O 3.39
O 0.0255 0.6298 0.9124 [8 per cell]  4 Tb 2.20-2.31
O 0.2500 0.2500 0.9355 [2 per cell]  5 Tb 2.36-2.45